No. 1
Compound: AcDy14Er
Source: the Alexandria database
Functional: PBE
Structure: relaxed

```
AcDy14Er
1.0
-0.420 5.993 4.102
-4.501 -5.579 1.236
7.503 -4.445 7.261
Dy Er Ac
14 1 1
direct
0.335 0.170 0.746
0.335 0.665 0.745
0.167 0.833 0.500
0.667 0.833 0.500
0.667 0.333 0.500
0.335 0.170 0.254
0.833 0.167 0.250
0.167 0.333 0.500
0.335 0.665 0.255
0.169 0.335 0.000
0.833 0.167 0.750
0.830 0.665 0.746
0.665 0.831 0.000
0.830 0.665 0.254
0.666 0.334 0.000
0.167 0.833 0.000
```

Computed properties:
- SG: Amm2 (38)
- ΔH_f (0 K): 0.0201 eV per atom
- Theoretical density: 8.5 g/cm3


No. 2
Compound: HoIrBr
Source: the Alexandria database
Functional: PBE
Structure: relaxed

```
HoIrBr
1.0
4.268 0.000 0.000
2.134 3.696 0.000
2.134 1.232 10.813
Ir Br Ho
2 2 2
direct
0.835 0.835 0.495
0.165 0.165 0.505
0.277 0.277 0.168
0.723 0.723 0.832
0.444 0.444 0.667
0.556 0.556 0.333
```

Computed properties:
- SG: R-3m (166)
- Formation energy without anion corrections: -1246 meV per atom
- Theoretical density: 8.5 g/cm3


No. 3
Compound: Dy3Tl2Au
Source: the Alexandria database
Functional: PBE
Structure: relaxed

```
Dy3Tl2Au
1.0
-0.146 -2.741 2.317
-1.381 -2.098 -2.568
11.160 -3.353 -3.262
Dy Tl Au
3 2 1
direct
0.000 0.000 0.000
0.000 0.000 0.353
0.000 0.000 0.647
0.500 0.500 0.824
0.500 0.500 0.176
0.500 0.500 0.500
```

Computed properties:
- SG: P4/mmm (123)
- ΔH_f (0 K): -0.5184 eV per atom
- Theoretical density: 11.6 g/cm3


No. 4
Compound: PaZn2Si
Source: the Alexandria database
Functional: PBE
Structure: relaxed

```
PaZn2Si
1.0
-3.464 2.838 -0.694
-1.547 -2.572 -2.796
-2.145 -1.900 2.935
Pa Zn Si
1 2 1
direct
0.500 0.500 0.500
0.000 0.000 0.500
0.000 0.500 0.000
0.500 0.000 0.000
```

Computed properties:
- SG: P4/mmm (123)
- Formation energy without anion corrections: -168 meV per atom
- Theoretical density: 8.5 g/cm3


Quick rundown of size of the total moment, same order as above: 0.00 0.00 0.10 0.00 μB per cell